Entry 1:
The following is a DFT calculation (GGA-PBE) of a relaxed Rb2CdH crystal.

Raw total energy in eV/atom: -1.497
Magnetization in μB per formula unit: 0.00
Space-group type: I-42d
Distance to the lowest polymorph of the same formula in meV per atom: 47

abc: 8.704 8.704 7.587
angles: 55.00 55.00 90.00
Positions (direct):
Rb  0.525  0.125  0.250
Rb  0.375  0.475  0.750
H  0.500  0.500  0.000
Rb  0.875  0.775  0.750
Rb  0.225  0.625  0.250
H  0.250  0.750  0.500
Cd  0.750  0.250  0.500
Cd  0.000  0.000  0.000

=====

Entry 2:
The following is a DFT calculation (GGA-PBE) of a relaxed YSb2Os crystal.

E_form (uncorrected) in eV/atom: 0.03
Raw total energy in eV/atom: -6.456
Magnetization in μB per formula unit: 0.00
Space-group type: P4/mmm
Distance to the lowest polymorph of the same formula in meV per atom: 337

abc: 4.627 4.629 4.019
angles: 90.00 90.00 90.00
Positions (direct):
Sb  0.000  0.000  0.000
Sb  0.500  0.500  0.000
Y  0.500  0.000  0.500
Os  0.000  0.500  0.500

=====

Entry 3:
The following is a DFT calculation (GGA-PBE) of a relaxed LaCdTc2 crystal.

Formation energy in eV/atom: 0.542
Raw total energy in eV/atom: -6.101
Magnetization in μB per formula unit: 2.36
Space-group type: P4/mmm

abc: 4.650 4.650 3.650
angles: 90.00 90.00 90.00
Last column: magnetic moment on the atom in μB.
Positions (direct):
La  0.000  0.500  0.500  0.01
Tc  0.500  0.500  0.000  1.09
Cd  0.500  0.000  0.500  -0.01
Tc  0.000  0.000  0.000  1.09

=====

Entry 4:
The following is a DFT calculation (GGA-PBE) of a relaxed Cs2NaHgIr crystal.

Formation energy in eV/atom: 0.498
Raw total energy in eV/atom: -1.940
Magnetization in μB per formula unit: 0.00
Space-group type: P4/mmm

abc: 6.245 5.696 6.245
angles: 90.00 90.00 90.00
Positions (direct):
Hg  0.500  0.500  0.500
Na  0.000  0.500  0.000
Ir  0.000  0.000  0.000
Cs  0.500  0.000  0.000
Cs  0.000  0.000  0.500